Below is a relaxed structure of BaTi3Al, with properties calculated at the PBE-GGA level.

a = 4.9353 Å, b = 4.9353 Å, c = 4.9353 Å
α = 90.00°, β = 90.00°, γ = 90.00°
Last column: nearest neighbours and their distance in Å.
Space group Pm-3m (No. 221)
Asymmetric unit:
Ba 0.0000 0.0000 0.0000 x1  6 Ti 2.47
Ti 0.0000 0.0000 0.5000 x3  2 Ba 2.47
Al 0.5000 0.5000 0.5000 x1  12 Ti 3.49

Energy above the lowest structure with this stoichiometry in meV/atom: 968
Calculated formation energy in eV per formula unit: 8.83
DOS(E_F) in states/eV per cell: 3.6

=====

Below is a relaxed structure of HfSn2PCl, with properties calculated at the PBE-GGA level.

a = 5.1521 Å, b = 5.1521 Å, c = 4.6427 Å
α = 90.00°, β = 90.00°, γ = 90.00°
Last column: nearest neighbours and their distance in Å.
Space group P4/mmm (No. 123)
Asymmetric unit:
Hf 0.0000 0.0000 0.0000 x1  8 Sn 3.47, 4 P 3.64
Sn 0.0000 0.5000 0.5000 x2  2 Cl 2.58
P 0.5000 0.5000 0.0000 x1  2 Cl 2.32
Cl 0.5000 0.5000 0.5000 x1  2 P 2.32, 4 Sn 2.58

Uncorrected formation energy in eV per atom: 0.76
DOS(E_F) in states/eV per cell: 2.4

=====

Below is a relaxed structure of KNaTlAu, with properties calculated at the PBE-GGA level.

a = 7.6654 Å, b = 7.6654 Å, c = 7.6654 Å
α = 90.00°, β = 90.00°, γ = 90.00°
Last column: nearest neighbours and their distance in Å.
Space group F-43m (No. 216)
Asymmetric unit:
K 0.0000 0.0000 0.0000 x4  4 Na 3.32, 4 Au 3.32
Na 0.2500 0.2500 0.2500 x4  4 Tl 3.32, 4 K 3.32
Tl 0.0000 0.0000 0.5000 x4  4 Na 3.32, 4 Au 3.32
Au 0.2500 0.2500 0.7500 x4  4 Tl 3.32, 4 K 3.32

Energy above the lowest structure with this stoichiometry in meV/atom: 84
Calculated formation energy in eV per formula unit: -0.45
DOS(E_F) in states/eV per cell: 11.2

=====

Below is a relaxed structure of ZnNi2, with properties calculated at the PBE-GGA level.

a = 7.6540 Å, b = 4.4052 Å, c = 4.1562 Å
α = 90.00°, β = 90.00°, γ = 90.00°
Last column: nearest neighbours and their distance in Å.
Space group Cmcm (No. 63)
Asymmetric unit:
Zn 0.0000 0.1798 0.2500 x4  10 Ni 2.51-2.61, 2 Zn 2.61
Ni 0.1708 0.3342 0.7500 x8  5 Zn 2.51-2.61, 7 Ni 2.51-2.61

Calculated formation energy in eV per formula unit: -0.39
DOS(E_F) in states/eV per cell: 18.4

=====

Below is a relaxed structure of Li3Ga7, with properties calculated at the PBE-GGA level.

a = 14.6782 Å, b = 4.0396 Å, c = 5.6999 Å
α = 90.00°, β = 100.17°, γ = 90.00°
Last column: nearest neighbours and their distance in Å.
Space group C2/m (No. 12)
Asymmetric unit:
Li 0.0000 0.0000 0.0000 x2  12 Ga 2.84-2.91
Li 0.1960 0.0000 0.6055 x4  10 Ga 2.82-2.89, 2 Li 2.95
Ga 0.0000 0.0000 0.5000 x2  4 Li 2.83-2.85, 8 Ga 2.88
Ga 0.0989 0.5000 0.8020 x4  4 Li 2.82-2.84, 8 Ga 2.84-2.93
Ga 0.1038 0.5000 0.3029 x4  7 Ga 2.81-2.93, 5 Li 2.84-2.91
Ga 0.2005 0.0000 0.1068 x4  7 Ga 2.81-2.90, 5 Li 2.85-2.90

Energy above the lowest structure with this stoichiometry in meV/atom: 5
Calculated formation energy in eV per formula unit: -2.10
DOS(E_F) in states/eV per cell: 5.6

=====

Below is a relaxed structure of K2PS4, with properties calculated at the PBE-GGA level.

a = 9.6107 Å, b = 11.6672 Å, c = 8.1952 Å
α = 90.00°, β = 90.00°, γ = 90.00°
Last column: nearest neighbours and their distance in Å.
Space group Fmm2 (No. 42)
Asymmetric unit:
K 0.2500 0.2500 0.0000 x8  6 S 3.15-3.48
P 0.0000 0.0000 0.0963 x4  4 S 2.03-2.07
S 0.0000 0.1468 0.2299 x8  1 P 2.03
S 0.1503 0.0000 0.9160 x8  1 P 2.07

Uncorrected formation energy in eV per atom: -0.69
Energy above the lowest structure with this stoichiometry in meV/atom: 0

=====

Below is a relaxed structure of Rb2TbInO4, with properties calculated at the PBE-GGA level.

a = 5.9863 Å, b = 3.4711 Å, c = 6.8581 Å
α = 90.00°, β = 107.40°, γ = 90.00°
Last column: nearest neighbours and their distance in Å.
Space group P2/m (No. 10)
Asymmetric unit:
Rb 0.0000 0.0000 0.0000 x1  6 O 2.91-2.92
Rb 0.5000 0.5000 0.0000 x1  6 O 2.89
Tb 0.0000 0.5000 0.5000 x1  6 O 2.32-2.35
In 0.5000 0.0000 0.5000 x1  6 O 2.29-2.32
O 0.2275 0.0000 0.6791 x2  1 In 2.32, 2 Tb 2.32
O 0.2808 0.5000 0.3230 x2  2 In 2.29, 1 Tb 2.35

Uncorrected formation energy in eV per atom: -2.06
DOS(E_F) in states/eV per cell: 0.0

=====

Below is a relaxed structure of LiLa2W, with properties calculated at the PBE-GGA level.

a = 7.3070 Å, b = 7.3070 Å, c = 7.3070 Å
α = 90.00°, β = 90.00°, γ = 90.00°
Last column: nearest neighbours and their distance in Å.
Space group Fm-3m (No. 225)
Asymmetric unit:
Li 0.0000 0.0000 0.0000 x4  8 La 3.16
La 0.2500 0.2500 0.2500 x8  4 W 3.16, 4 Li 3.16
W 0.0000 0.0000 0.5000 x4  8 La 3.16

Energy above the lowest structure with this stoichiometry in meV/atom: 0
Calculated formation energy in eV per formula unit: 1.64
DOS(E_F) in states/eV per cell: 18.5

=====

What energy values result from the calculations? In sequence: -4.10, -4.29, -2.13, -4.41, -2.90, -4.13, -5.70, -5.77 eV per atom.
What calculated volume values result from the calculations? In sequence: 120, 123, 450, 140, 333, 919, 136, 390 Å³ per cell.
What total magnetic moment values result from the calculations? In sequence: 0.80, 0.00, 0.00, 0.61, 0.00, 4.29, 0.00, 0.00 μB/cell.